(1)
A relaxed AcNdNiIr crystal. Source: Alexandria, functional PBE.

Computed properties:
Energy above the most stable polymorph in this dataset in kcal/mol of atoms: 2.44
DOS(E_F) in states/eV/cell: 10.229
Energy in eV per cell: -99.88
DFT formation energy in meV per atom: -363
M_tot in μB/cell: 0.000

abc: 7.225 7.225 7.225
angles: 90.00 90.00 90.00
Space group F-43m (No. 216)
One atom of each set of equivalent atoms:
Ac1 0.000 0.000 0.000 [4 per cell]
Nd1 0.000 0.000 0.500 [4 per cell]
Ni1 0.250 0.250 0.250 [4 per cell]
Ir1 0.250 0.250 0.750 [4 per cell]

(2)
A relaxed AcNd2IrO8 crystal. Source: Alexandria, functional PBE.

Computed properties:
DOS(E_F) in states/eV/cell: 4.861
Energy in eV per cell: -88.91
M_tot in μB/cell: 1.742
ΔE_f (raw) in eV/atom: -2.228

abc: 4.720 5.370 7.276
angles: 93.69 91.30 90.80
Space group P-1 (No. 2)
One atom of each set of equivalent atoms:
Ac1 0.000 0.000 0.000 [1 per cell]
Nd1 0.460 0.459 0.746 [2 per cell]
Ir1 0.000 0.000 0.500 [1 per cell]
O1 0.088 0.747 0.291 [2 per cell]
O2 0.183 0.820 0.685 [2 per cell]
O3 0.322 0.204 0.465 [2 per cell]
O4 0.414 0.263 0.009 [2 per cell]

(3)
A relaxed Ac2NdIr3O12 crystal. Source: Alexandria, functional PBE.

Computed properties:
DOS(E_F) in states/eV/cell: 23.793
Energy in eV per cell: -393.96
M_tot in μB/cell: 15.839
ΔE_f (raw) in eV/atom: -1.792

abc: 7.2289 7.2289 16.2333
angles: 90.00 90.00 120.00
Space group R-3m (No. 166, hexagonal axes)
One atom of each set of equivalent atoms:
Ac1 0.0000 0.0000 0.1152 [6 per cell]
Nd1 0.0000 0.0000 0.5000 [3 per cell]
Ir1 0.0000 0.5000 0.0000 [9 per cell]
O1 0.0582 0.5291 0.3020 [18 per cell]
O2 0.0586 0.5293 0.8830 [18 per cell]

(4)
A relaxed Ac2NdIrO8 crystal. Source: Alexandria, functional PBE.

Computed properties:
DOS(E_F) in states/eV/cell: 5.243
Energy in eV per cell: -88.07
M_tot in μB/cell: 1.284
ΔE_f (raw) in eV/atom: -2.213

abc: 4.532 7.363 5.600
angles: 90.00 96.29 90.00
Space group P2/m (No. 10)
One atom of each set of equivalent atoms:
Ac1 0.000 0.242 0.000 [2 per cell]
Nd1 0.500 0.500 0.500 [1 per cell]
Ir1 0.500 0.000 0.500 [1 per cell]
O1 0.054 0.500 0.251 [2 per cell]
O2 0.117 0.000 0.347 [2 per cell]
O3 0.430 0.204 0.725 [4 per cell]

(5)
A relaxed AcNdIrO6 crystal. Source: Alexandria, functional PBE.

Computed properties:
DOS(E_F) in states/eV/cell: 7.392
Energy in eV per cell: -132.74
M_tot in μB/cell: 5.709
ΔE_f (raw) in eV/atom: -2.098

abc: 5.8763 5.8763 9.3414
angles: 90.00 90.00 120.00
Space group P-31c (No. 163)
One atom of each set of equivalent atoms:
Ac1 0.3333 0.6667 0.2500 [2 per cell]
Nd1 0.0000 0.0000 0.0000 [2 per cell]
Ir1 0.3333 0.6667 0.7500 [2 per cell]
O1 0.0669 0.3810 0.6316 [12 per cell]

(6)
A relaxed Ac2Nd2Ir2Pt crystal. Source: Alexandria, functional PBE.

Computed properties:
DOS(E_F) in states/eV/cell: 4.082
Energy in eV per cell: -46.46
DFT formation energy in meV per atom: -707
M_tot in μB/cell: 0.000

abc: 4.105 7.406 8.210
angles: 107.21 104.47 106.03
Space group P-1 (No. 2)
One atom of each set of equivalent atoms:
Ac1 0.223 0.191 0.254 [2 per cell]
Nd1 0.084 0.362 0.805 [2 per cell]
Ir1 0.423 0.809 0.039 [2 per cell]
Pt1 0.000 0.500 0.500 [1 per cell]